## Pm3Er6In (PBE-GGA)

Data for an optimized crystal structure of Pm3Er6In.

The structure in POSCAR format:
```
Pm3Er6In
1.0
3.541 0.000 0.000
0.000 12.761 -1.934
0.000 -6.135 14.736
Er Pm In
12 6 2
Direct
0.750 0.594 0.711 Er
0.250 0.618 0.901 Er
0.250 0.887 0.523 Er
0.250 0.142 0.892 Er
0.750 0.858 0.108 Er
0.750 0.666 0.310 Er
0.750 0.382 0.099 Er
0.750 0.887 0.718 Er
0.250 0.113 0.282 Er
0.250 0.334 0.690 Er
0.750 0.113 0.477 Er
0.250 0.406 0.289 Er
0.750 0.126 0.092 Pm
0.250 0.874 0.908 Pm
0.250 0.614 0.104 Pm
0.750 0.386 0.896 Pm
0.250 0.377 0.500 Pm
0.750 0.623 0.500 Pm
0.750 0.116 0.693 In
0.250 0.884 0.307 In
```

Results
The final energy comes out at -4.4639 eV/atom. The density of states at the Fermi level is 1.375 states/eV/atom. The calculation puts the size of the total moment at 0.00 μB per cell. As for the formation energy: -0.0271 eV/atom.